No. 1
DFT (PBE-GGA) results for a relaxed Nb2Co2Hg crystal.

Values from the calculation:
Total DFT energy (no corrections) ... -67.13 eV/cell
Total magnetic moment ... 0.0 μB/cell
D(E_F) ... 1.14 states/eV/atom
Volume ... 162.53 Å³ per cell

Cell: 7.589 7.589 2.822 Å, 90.00 90.00 90.00°
Space group P4/mbm (No. 127)
One atom of each set of equivalent atoms:
Nb (0.152, 0.348, 0.000) [4 per cell]
Co (0.134, 0.634, 0.500) [4 per cell]
Hg (0.000, 0.000, 0.000) [2 per cell]


No. 2
DFT (PBE-GGA) results for a relaxed LiCe3Bi4 crystal.

Values from the calculation:
Total DFT energy (no corrections) ... -39.95 eV/cell
Total magnetic moment ... 1.5 μB/cell
D(E_F) ... 2.05 states/eV/atom
Volume ... 266.03 Å³ per cell

Cell: 6.431 6.431 6.431 Å, 90.00 90.00 90.00°
Space group Pm-3m (No. 221)
One atom of each set of equivalent atoms:
Li (0.000, 0.000, 0.000) [1 per cell]
Ce (0.000, 0.500, 0.500) [3 per cell]
Bi (0.000, 0.000, 0.500) [3 per cell]
Bi (0.500, 0.500, 0.500) [1 per cell]


No. 3
DFT (PBE-GGA) results for a relaxed SmPaCo2 crystal.

Values from the calculation:
Total DFT energy (no corrections) ... -87.32 eV/cell
Total magnetic moment ... 0.0 μB/cell
D(E_F) ... 0.57 states/eV/atom
Volume ... 242.83 Å³ per cell

Cell: 3.7398 3.7398 20.0479 Å, 90.00 90.00 120.00°
Space group R-3m (No. 166, hexagonal axes)
One atom of each set of equivalent atoms:
Sm (0.0000, 0.0000, 0.0000) [3 per cell]
Pa (0.0000, 0.0000, 0.5000) [3 per cell]
Co (0.0000, 0.0000, 0.2397) [6 per cell]


No. 4
DFT (PBE-GGA) results for a relaxed SmCd6Ag5 crystal.

Values from the calculation:
Total DFT energy (no corrections) ... -51.34 eV/cell
Total magnetic moment ... 0.0 μB/cell
D(E_F) ... 0.47 states/eV/atom
Volume ... 503.17 Å³ per cell

Cell: 4.725 8.338 12.771 Å, 90.00 90.00 90.00°
Space group Immm (No. 71)
One atom of each set of equivalent atoms:
Sm (0.000, 0.000, 0.000) [2 per cell]
Cd (0.000, 0.215, 0.500) [4 per cell]
Cd (0.000, 0.282, 0.171) [8 per cell]
Ag (0.000, 0.000, 0.303) [4 per cell]
Ag (0.000, 0.500, 0.000) [2 per cell]
Ag (0.000, 0.500, 0.346) [4 per cell]


No. 5
DFT (PBE-GGA) results for a relaxed ZrScCr2 crystal.

Values from the calculation:
Total DFT energy (no corrections) ... -33.03 eV/cell
Total magnetic moment ... 0.0 μB/cell
D(E_F) ... 1.21 states/eV/atom
Volume ... 69.96 Å³ per cell

Cell: 2.986 3.734 6.420 Å, 90.00 102.18 90.00°
Space group Pm (No. 6)
One atom of each set of equivalent atoms:
Zr (0.000, 0.000, 0.000) [1 per cell]
Sc (0.356, 0.500, 0.651) [1 per cell]
Cr (0.513, 0.500, 0.245) [1 per cell]
Cr (0.831, 0.000, 0.401) [1 per cell]


No. 6
DFT (PBE-GGA) results for a relaxed LaAlPd3 crystal.

Values from the calculation:
Total DFT energy (no corrections) ... -21.15 eV/cell
Total magnetic moment ... 0.0 μB/cell
D(E_F) ... 0.59 states/eV/atom
Volume ... 136.95 Å³ per cell

Cell: 5.155 5.155 5.155 Å, 90.00 90.00 90.00°
Space group Pm-3m (No. 221)
One atom of each set of equivalent atoms:
La (0.000, 0.000, 0.000) [1 per cell]
Al (0.500, 0.500, 0.500) [1 per cell]
Pd (0.000, 0.000, 0.500) [3 per cell]


No. 7
DFT (PBE-GGA) results for a relaxed CaMgCd3 crystal.

Values from the calculation:
Total DFT energy (no corrections) ... -3.53 eV/cell
Total magnetic moment ... 0.0 μB/cell
D(E_F) ... 0.93 states/eV/atom
Volume ... 210.32 Å³ per cell

Cell: 5.947 5.947 5.947 Å, 90.00 90.00 90.00°
Space group Pm-3m (No. 221)
One atom of each set of equivalent atoms:
Ca (0.000, 0.000, 0.000) [1 per cell]
Mg (0.500, 0.500, 0.500) [1 per cell]
Cd (0.000, 0.000, 0.500) [3 per cell]


No. 8
DFT (PBE-GGA) results for a relaxed CeErPuTl crystal.

Values from the calculation:
Total DFT energy (no corrections) ... -108.07 eV/cell
Total magnetic moment ... 33.8 μB/cell
D(E_F) ... 2.10 states/eV/atom
Volume ... 431.40 Å³ per cell

Cell: 7.556 7.556 7.556 Å, 90.00 90.00 90.00°
Space group F-43m (No. 216)
One atom of each set of equivalent atoms:
Ce (0.000, 0.000, 0.000) [4 per cell]
Er (0.250, 0.250, 0.250) [4 per cell]
Pu (0.250, 0.250, 0.750) [4 per cell]
Tl (0.000, 0.000, 0.500) [4 per cell]


No. 9
DFT (PBE-GGA) results for a relaxed In2SiRhAu crystal.

Values from the calculation:
E_form (uncorrected) ... 760 meV per atom
Total magnetic moment ... 0.0 μB/cell
D(E_F) ... 0.73 states/eV/atom
Volume ... 120.18 Å³ per cell

Cell: 5.109 5.109 4.605 Å, 90.00 90.00 90.00°
Space group P4/mmm (No. 123)
One atom of each set of equivalent atoms:
In (0.000, 0.500, 0.000) [2 per cell]
Si (0.000, 0.000, 0.000) [1 per cell]
Rh (0.500, 0.500, 0.500) [1 per cell]
Au (0.000, 0.000, 0.500) [1 per cell]


No. 10
DFT (PBE-GGA) results for a relaxed ZrTe2Pt crystal.

Values from the calculation:
E_form (uncorrected) ... -550 meV per atom
Total magnetic moment ... 0.0 μB/cell
D(E_F) ... 0.74 states/eV/atom
Volume ... 239.04 Å³ per cell

Cell: 3.919 4.332 14.080 Å, 90.00 90.00 90.00°
Space group Immm (No. 71)
One atom of each set of equivalent atoms:
Zr (0.000, 0.000, 0.000) [2 per cell]
Te (0.000, 0.500, 0.140) [4 per cell]
Pt (0.000, 0.000, 0.500) [2 per cell]


No. 11
DFT (PBE-GGA) results for a relaxed AcHo2Bi crystal.

Values from the calculation:
Total DFT energy (no corrections) ... -53.74 eV/cell
Total magnetic moment ... 0.2 μB/cell
D(E_F) ... 1.03 states/eV/atom
Volume ... 436.02 Å³ per cell

Cell: 4.1160 4.1160 29.7183 Å, 90.00 90.00 120.00°
Space group R3m (No. 160, hexagonal axes)
One atom of each set of equivalent atoms:
Ac (0.0000, 0.0000, 0.0000) [3 per cell]
Ho (0.0000, 0.0000, 0.5653) [3 per cell]
Ho (0.0000, 0.0000, 0.7664) [3 per cell]
Bi (0.0000, 0.0000, 0.1654) [3 per cell]


No. 12
DFT (PBE-GGA) results for a relaxed FeMo2Se crystal.

Values from the calculation:
E_form (uncorrected) ... 195 meV per atom
Total magnetic moment ... 1.8 μB/cell
D(E_F) ... 0.70 states/eV/atom
Volume ... 117.09 Å³ per cell

Cell: 8.986 2.975 4.558 Å, 90.00 106.06 90.00°
Space group Cm (No. 8)
One atom of each set of equivalent atoms:
Fe (0.000, 0.000, 0.000) [2 per cell]
Mo (0.015, 0.500, 0.509) [2 per cell]
Mo (0.232, 0.500, 0.124) [2 per cell]
Se (0.259, 0.000, 0.661) [2 per cell]